SrLiPaO4 after structural relaxation. Source: Alexandria via LeMat-Bulk, functional PBE-GGA.

Calculated values
Formation energy (no corrections) in eV/atom: -3.085
Calculated total energy in eV/atom: -7.789
Calculated volume in Å³/f.u.: 105.3

Cell lengths 6.493, 6.493, 6.493 Å; angles 111.66, 108.21, 108.57 degrees
Fractional positions:
Sr (0.437, 0.187, 0.250)
Sr (0.563, 0.813, 0.750)
Li (0.000, 0.500, 0.500)
Li (0.500, 0.500, 0.000)
Pa (0.000, 0.000, 0.500)
Pa (0.000, 0.500, 0.000)
O (0.167, 0.239, 0.928)
O (0.189, 0.761, 0.428)
O (0.272, 0.314, 0.542)
O (0.272, 0.730, 0.958)
O (0.728, 0.270, 0.042)
O (0.728, 0.686, 0.458)
O (0.811, 0.239, 0.572)
O (0.833, 0.761, 0.072)

SrLi3Pa4O12 after structural relaxation. Source: Alexandria via LeMat-Bulk, functional PBE-GGA.

Calculated values
Formation energy (no corrections) in eV/atom: -3.155
Calculated total energy in eV/atom: -8.400
Calculated volume in Å³/f.u.: 285.9

Cell lengths 7.188, 7.188, 7.188 Å; angles 109.47, 109.47, 109.47 degrees
Fractional positions:
Sr (0.000, 0.000, 0.000)
Li (0.000, 0.500, 0.500)
Li (0.500, 0.000, 0.500)
Li (0.500, 0.500, 0.000)
Pa (0.000, 0.000, 0.500)
Pa (0.000, 0.500, 0.000)
Pa (0.500, 0.000, 0.000)
Pa (0.500, 0.500, 0.500)
O (0.126, 0.826, 0.300)
O (0.174, 0.300, 0.473)
O (0.174, 0.700, 0.874)
O (0.300, 0.126, 0.826)
O (0.300, 0.473, 0.174)
O (0.473, 0.174, 0.300)
O (0.527, 0.826, 0.700)
O (0.700, 0.527, 0.826)
O (0.700, 0.874, 0.174)
O (0.826, 0.300, 0.126)
O (0.826, 0.700, 0.527)
O (0.874, 0.174, 0.700)

LiPaTa2O8 after structural relaxation. Source: Alexandria via LeMat-Bulk, functional PBE-GGA.

Calculated values
Formation energy (no corrections) in eV/atom: -2.950
Calculated total energy in eV/atom: -9.182
Calculated volume in Å³/f.u.: 156.6

Cell lengths 5.005, 5.005, 6.261 Å; angles 90.25, 90.25, 86.96 degrees
Fractional positions:
Li (0.000, 0.000, 0.000)
Pa (0.000, 0.000, 0.500)
Ta (0.489, 0.489, 0.239)
Ta (0.511, 0.511, 0.761)
O (0.211, 0.786, 0.747)
O (0.214, 0.789, 0.253)
O (0.319, 0.319, 0.497)
O (0.323, 0.323, 0.997)
O (0.677, 0.677, 0.003)
O (0.681, 0.681, 0.503)
O (0.786, 0.211, 0.747)
O (0.789, 0.214, 0.253)

Li2PaTcO8 after structural relaxation. Source: Alexandria via LeMat-Bulk, functional PBE-GGA.

Calculated values
Formation energy (no corrections) in eV/atom: -1.812
Calculated total energy in eV/atom: -7.092
Calculated volume in Å³/f.u.: 146.1

Cell lengths 4.737, 6.516, 4.737 Å; angles 90.00, 92.29, 90.00 degrees
Fractional positions:
Li (0.000, 0.231, 0.000)
Li (0.000, 0.769, 0.000)
Pa (0.500, 0.500, 0.500)
Tc (0.500, 0.000, 0.500)
O (0.203, 0.500, 0.201)
O (0.224, 0.000, 0.222)
O (0.310, 0.222, 0.688)
O (0.310, 0.778, 0.688)
O (0.690, 0.222, 0.312)
O (0.690, 0.778, 0.312)
O (0.776, 0.000, 0.778)
O (0.797, 0.500, 0.799)

Repeat the fourth record exactly.
Li2PaTcO8 after structural relaxation. Source: Alexandria via LeMat-Bulk, functional PBE-GGA.

Calculated values
Formation energy (no corrections) in eV/atom: -1.812
Calculated total energy in eV/atom: -7.092
Calculated volume in Å³/f.u.: 146.1

Cell lengths 4.737, 6.516, 4.737 Å; angles 90.00, 92.29, 90.00 degrees
Fractional positions:
Li (0.000, 0.231, 0.000)
Li (0.000, 0.769, 0.000)
Pa (0.500, 0.500, 0.500)
Tc (0.500, 0.000, 0.500)
O (0.203, 0.500, 0.201)
O (0.224, 0.000, 0.222)
O (0.310, 0.222, 0.688)
O (0.310, 0.778, 0.688)
O (0.690, 0.222, 0.312)
O (0.690, 0.778, 0.312)
O (0.776, 0.000, 0.778)
O (0.797, 0.500, 0.799)

calculated total energy of number 4 (Li2PaTcO8)?
-7.092 eV/atom